V2BiCl | PBE-GGA | optimized geometry

The calculation puts the formation energy from raw total energies at 1.5 eV/f.u.

Unit cell a=8.2047 b=8.2047 c=8.2047 alpha=143.35 beta=143.35 gamma=52.80
Sites, in units of the cell vectors:
1 V 0.0402 0.6250 0.9152
2 V 0.3750 0.2902 0.4152
3 V 0.7098 0.1250 0.0848
4 V 0.8750 0.9598 0.5848
5 Bi 0.2500 0.7500 0.5000
6 Bi 0.5000 0.5000 0.0000
7 Cl 0.0000 0.0000 0.0000
8 Cl 0.7500 0.2500 0.5000

---

V2BiCl | PBE-GGA | optimized geometry

The calculation puts the formation energy from raw total energies at 1.6 eV/f.u.

Unit cell a=4.8583 b=4.8583 c=4.8583 alpha=60.00 beta=60.00 gamma=60.00
Sites, in units of the cell vectors:
1 V 0.2500 0.2500 0.2500
2 V 0.7500 0.7500 0.7500
3 Bi 0.0000 0.0000 0.0000
4 Cl 0.5000 0.5000 0.5000

---

V3BiCl | PBE-GGA | optimized geometry

The calculation puts the formation energy from raw total energies at 2.5 eV/f.u.

Unit cell a=4.3616 b=4.3616 c=4.3616 alpha=90.00 beta=90.00 gamma=90.00
Sites, in units of the cell vectors:
1 V 0.0000 0.0000 0.5000
2 V 0.0000 0.5000 0.0000
3 V 0.5000 0.0000 0.0000
4 Bi 0.5000 0.5000 0.5000
5 Cl 0.0000 0.0000 0.0000